Entry 1:
A geometry-optimized ErAgAu4 structure, computed with PBE-GGA.

Values from the calculation:
- energy relative to the lowest polymorph listed for this composition (meV per atom) = 0
- total magnetic moment (μB/cell) = 0.00
- ΔE_f (eV per atom) = -0.4228
- crystal system = monoclinic

CIF file:
```
data_ErAgAu4
_cell_length_a 3.580
_cell_length_b 3.705
_cell_length_c 8.875
_cell_angle_alpha 90.00
_cell_angle_beta 90.22
_cell_angle_gamma 90.00
_space_group_name_H-M_alt 'P 1 2/m 1'
_space_group_IT_number 10
loop_
_space_group_symop_operation_xyz
'x,y,z'
'-x,-y,-z'
'-x,y,-z'
'x,-y,z'
loop_
_atom_site_label
_atom_site_type_symbol
_atom_site_fract_x
_atom_site_fract_y
_atom_site_fract_z
Er1 Er 0.000 0.000 0.000
Ag1 Ag 0.500 0.500 0.500
Au1 Au 0.001 0.000 0.337
Au2 Au 0.499 0.500 0.826
```

Entry 2:
A geometry-optimized ErAgAu4 structure, computed with PBE-GGA.

Values from the calculation:
- energy relative to the lowest polymorph listed for this composition (meV per atom) = 17
- total magnetic moment (μB/cell) = 0.00
- ΔE_f (eV per atom) = -0.4054
- crystal system = monoclinic

CIF file:
```
data_ErAgAu4
_cell_length_a 6.085
_cell_length_b 4.708
_cell_length_c 8.859
_cell_angle_alpha 90.00
_cell_angle_beta 110.04
_cell_angle_gamma 90.00
_space_group_name_H-M_alt 'P 1 21/m 1'
_space_group_IT_number 11
loop_
_space_group_symop_operation_xyz
'x,y,z'
'-x,-y,-z'
'-x,y+1/2,-z'
'x,-y+1/2,z'
loop_
_atom_site_label
_atom_site_type_symbol
_atom_site_fract_x
_atom_site_fract_y
_atom_site_fract_z
Er1 Er 0.121 0.250 0.240
Ag1 Ag 0.368 0.750 0.739
Au1 Au 0.043 0.250 0.585
Au2 Au 0.221 0.250 0.914
Au3 Au 0.302 0.750 0.086
Au4 Au 0.465 0.750 0.415
```

Entry 3:
A geometry-optimized Er6AgAu5 structure, computed with PBE-GGA.

Values from the calculation:
- total magnetic moment (μB/cell) = 0.00
- ΔE_f (eV per atom) = -0.7984
- crystal system = monoclinic

CIF file:
```
data_Er6AgAu5
_cell_length_a 5.071
_cell_length_b 7.085
_cell_length_c 8.026
_cell_angle_alpha 90.00
_cell_angle_beta 108.36
_cell_angle_gamma 90.00
_space_group_name_H-M_alt 'P 1 2/m 1'
_space_group_IT_number 10
loop_
_space_group_symop_operation_xyz
'x,y,z'
'-x,-y,-z'
'-x,y,-z'
'x,-y,z'
loop_
_atom_site_label
_atom_site_type_symbol
_atom_site_fract_x
_atom_site_fract_y
_atom_site_fract_z
Er1 Er 0.000 0.246 0.000
Er2 Er 0.332 0.250 0.664
Ag1 Ag 0.500 0.500 0.000
Au1 Au 0.160 0.500 0.320
Au2 Au 0.168 0.000 0.336
Au3 Au 0.500 0.000 0.000
```

Entry 4:
A geometry-optimized ErAg2Au8 structure, computed with PBE-GGA.

Values from the calculation:
- total magnetic moment (μB/cell) = 0.00
- ΔE_f (eV per atom) = -0.2759
- crystal system = monoclinic

CIF file:
```
data_ErAg2Au8
_cell_length_a 15.265
_cell_length_b 4.176
_cell_length_c 6.666
_cell_angle_alpha 90.00
_cell_angle_beta 105.38
_cell_angle_gamma 90.00
_space_group_name_H-M_alt 'C 1 2/m 1'
_space_group_IT_number 12
loop_
_space_group_symop_operation_xyz
'x,y,z'
'-x,-y,-z'
'-x,y,-z'
'x,-y,z'
'x+1/2,y+1/2,z'
'-x+1/2,-y+1/2,-z'
'-x+1/2,y+1/2,-z'
'x+1/2,-y+1/2,z'
loop_
_atom_site_label
_atom_site_type_symbol
_atom_site_fract_x
_atom_site_fract_y
_atom_site_fract_z
Er1 Er 0.000 0.000 0.000
Ag1 Ag 0.225 0.500 0.634
Au1 Au 0.046 0.500 0.724
Au2 Au 0.093 0.000 0.455
Au3 Au 0.138 0.500 0.185
Au4 Au 0.183 0.000 0.915
```

Entry 5:
A geometry-optimized Er2AgAu structure, computed with PBE-GGA.

Values from the calculation:
- total magnetic moment (μB/cell) = 0.00
- ΔE_f (eV per atom) = -0.6142
- crystal system = tetragonal

CIF file:
```
data_Er2AgAu
_cell_length_a 5.088
_cell_length_b 5.088
_cell_length_c 3.550
_cell_angle_alpha 90.00
_cell_angle_beta 90.00
_cell_angle_gamma 90.00
_space_group_name_H-M_alt 'P 4/m m m'
_space_group_IT_number 123
_space_group_name_Hall '-P 4 2'
loop_
_atom_site_label
_atom_site_type_symbol
_atom_site_fract_x
_atom_site_fract_y
_atom_site_fract_z
Er1 Er 0.000 0.500 0.000
Ag1 Ag 0.000 0.000 0.500
Au1 Au 0.500 0.500 0.500
```

Entry 6:
A geometry-optimized ErAg8Au6 structure, computed with PBE-GGA.

Values from the calculation:
- total magnetic moment (μB/cell) = 0.00
- ΔE_f (eV per atom) = -0.0739
- crystal system = trigonal

CIF file:
```
data_ErAg8Au6
_cell_length_a 7.9096
_cell_length_b 7.9096
_cell_length_c 16.7623
_cell_angle_alpha 90.00
_cell_angle_beta 90.00
_cell_angle_gamma 120.00
_space_group_name_H-M_alt 'R -3'
_space_group_IT_number 148
_space_group_name_Hall '-R 3'
loop_
_atom_site_label
_atom_site_type_symbol
_atom_site_fract_x
_atom_site_fract_y
_atom_site_fract_z
Er1 Er 0.0000 0.0000 0.0000
Ag1 Ag 0.0000 0.0000 0.2511
Ag2 Ag 0.0062 0.3117 0.1297
Au1 Au 0.0050 0.2906 0.6270
```

Entry 7:
A geometry-optimized Er2AgAu structure, computed with PBE-GGA.

Values from the calculation:
- total magnetic moment (μB/cell) = 0.00
- ΔE_f (eV per atom) = -0.6078
- crystal system = cubic

CIF file:
```
data_Er2AgAu
_cell_length_a 7.166
_cell_length_b 7.166
_cell_length_c 7.166
_cell_angle_alpha 90.00
_cell_angle_beta 90.00
_cell_angle_gamma 90.00
_space_group_name_H-M_alt 'F m -3 m'
_space_group_IT_number 225
_space_group_name_Hall '-F 4 2 3'
loop_
_atom_site_label
_atom_site_type_symbol
_atom_site_fract_x
_atom_site_fract_y
_atom_site_fract_z
Er1 Er 0.250 0.250 0.250
Ag1 Ag 0.000 0.000 0.000
Au1 Au 0.000 0.000 0.500
```

Entry 8:
A geometry-optimized ErAg2Au structure, computed with PBE-GGA.

Values from the calculation:
- energy relative to the lowest polymorph listed for this composition (meV per atom) = 92
- total magnetic moment (μB/cell) = 0.00
- ΔE_f (eV per atom) = -0.3100
- crystal system = tetragonal

CIF file:
```
data_ErAg2Au
_cell_length_a 4.195
_cell_length_b 4.195
_cell_length_c 4.702
_cell_angle_alpha 90.00
_cell_angle_beta 90.00
_cell_angle_gamma 90.00
_space_group_name_H-M_alt 'P 4/m m m'
_space_group_IT_number 123
_space_group_name_Hall '-P 4 2'
loop_
_atom_site_label
_atom_site_type_symbol
_atom_site_fract_x
_atom_site_fract_y
_atom_site_fract_z
Er1 Er 0.000 0.000 0.000
Ag1 Ag 0.000 0.500 0.500
Au1 Au 0.500 0.500 0.000
```

Entry 9:
A geometry-optimized ErAg2Au2 structure, computed with PBE-GGA.

Values from the calculation:
- energy relative to the lowest polymorph listed for this composition (meV per atom) = 0
- total magnetic moment (μB/cell) = 0.00
- ΔE_f (eV per atom) = -0.4493
- crystal system = monoclinic

CIF file:
```
data_ErAg2Au2
_cell_length_a 9.478
_cell_length_b 4.206
_cell_length_c 6.747
_cell_angle_alpha 90.00
_cell_angle_beta 134.00
_cell_angle_gamma 90.00
_space_group_name_H-M_alt 'C 1 2/m 1'
_space_group_IT_number 12
loop_
_space_group_symop_operation_xyz
'x,y,z'
'-x,-y,-z'
'-x,y,-z'
'x,-y,z'
'x+1/2,y+1/2,z'
'-x+1/2,-y+1/2,-z'
'-x+1/2,y+1/2,-z'
'x+1/2,-y+1/2,z'
loop_
_atom_site_label
_atom_site_type_symbol
_atom_site_fract_x
_atom_site_fract_y
_atom_site_fract_z
Er1 Er 0.000 0.000 0.000
Ag1 Ag 0.194 0.000 0.595
Au1 Au 0.096 0.500 0.799
```

Entry 10:
A geometry-optimized Er8AgAu2 structure, computed with PBE-GGA.

Values from the calculation:
- total magnetic moment (μB/cell) = 0.00
- ΔE_f (eV per atom) = -0.3710
- crystal system = monoclinic

CIF file:
```
data_Er8AgAu2
_cell_length_a 17.649
_cell_length_b 5.065
_cell_length_c 6.876
_cell_angle_alpha 90.00
_cell_angle_beta 106.03
_cell_angle_gamma 90.00
_space_group_name_H-M_alt 'C 1 2/m 1'
_space_group_IT_number 12
loop_
_space_group_symop_operation_xyz
'x,y,z'
'-x,-y,-z'
'-x,y,-z'
'x,-y,z'
'x+1/2,y+1/2,z'
'-x+1/2,-y+1/2,-z'
'-x+1/2,y+1/2,-z'
'x+1/2,-y+1/2,z'
loop_
_atom_site_label
_atom_site_type_symbol
_atom_site_fract_x
_atom_site_fract_y
_atom_site_fract_z
Er1 Er 0.031 0.000 0.274
Er2 Er 0.092 0.500 0.959
Er3 Er 0.168 0.500 0.472
Er4 Er 0.200 0.000 0.821
Ag1 Ag 0.000 0.500 0.500
Au1 Au 0.186 0.000 0.224
```

Entry 11:
A geometry-optimized Er4Ag3Au2 structure, computed with PBE-GGA.

Values from the calculation:
- total magnetic moment (μB/cell) = 0.00
- ΔE_f (eV per atom) = -0.5046
- crystal system = monoclinic

CIF file:
```
data_Er4Ag3Au2
_cell_length_a 8.558
_cell_length_b 4.942
_cell_length_c 9.611
_cell_angle_alpha 90.00
_cell_angle_beta 90.10
_cell_angle_gamma 90.00
_space_group_name_H-M_alt 'C 1 2/m 1'
_space_group_IT_number 12
loop_
_space_group_symop_operation_xyz
'x,y,z'
'-x,-y,-z'
'-x,y,-z'
'x,-y,z'
'x+1/2,y+1/2,z'
'-x+1/2,-y+1/2,-z'
'-x+1/2,y+1/2,-z'
'x+1/2,-y+1/2,z'
loop_
_atom_site_label
_atom_site_type_symbol
_atom_site_fract_x
_atom_site_fract_y
_atom_site_fract_z
Er1 Er 0.000 0.000 0.165
Er2 Er 0.167 0.500 0.616
Ag1 Ag 0.000 0.000 0.500
Ag2 Ag 0.167 0.500 0.994
Au1 Au 0.166 0.500 0.308
```

Entry 12:
A geometry-optimized Er3AgAu structure, computed with PBE-GGA.

Values from the calculation:
- energy relative to the lowest polymorph listed for this composition (meV per atom) = 0
- total magnetic moment (μB/cell) = 1.48
- ΔE_f (eV per atom) = -0.4714
- crystal system = orthorhombic

CIF file:
```
data_Er3AgAu
_cell_length_a 5.030
_cell_length_b 19.518
_cell_length_c 5.031
_cell_angle_alpha 90.00
_cell_angle_beta 90.00
_cell_angle_gamma 90.00
_space_group_name_H-M_alt 'C m c m'
_space_group_IT_number 63
_space_group_name_Hall '-C 2c 2'
loop_
_atom_site_label
_atom_site_type_symbol
_atom_site_fract_x
_atom_site_fract_y
_atom_site_fract_z
Er1 Er 0.000 0.064 0.250
Er2 Er 0.000 0.250 0.250
Er3 Er 0.000 0.435 0.250
Ag1 Ag 0.000 0.157 0.750
Au1 Au 0.000 0.340 0.750
```

Entry 13:
A geometry-optimized Er4AgAu2 structure, computed with PBE-GGA.

Values from the calculation:
- energy relative to the lowest polymorph listed for this composition (meV per atom) = 0
- total magnetic moment (μB/cell) = 0.00
- ΔE_f (eV per atom) = -0.5478
- crystal system = trigonal

CIF file:
```
data_Er4AgAu2
_cell_length_a 4.9977
_cell_length_b 4.9977
_cell_length_c 24.5869
_cell_angle_alpha 90.00
_cell_angle_beta 90.00
_cell_angle_gamma 120.00
_space_group_name_H-M_alt 'R -3 m'
_space_group_IT_number 166
_space_group_name_Hall '-R 3 2"'
loop_
_atom_site_label
_atom_site_type_symbol
_atom_site_fract_x
_atom_site_fract_y
_atom_site_fract_z
Er1 Er 0.0000 0.0000 0.1229
Er2 Er 0.0000 0.0000 0.3736
Ag1 Ag 0.0000 0.0000 0.5000
Au1 Au 0.0000 0.0000 0.2534
```

Entry 14:
A geometry-optimized Er5AgAu4 structure, computed with PBE-GGA.

Values from the calculation:
- total magnetic moment (μB/cell) = 0.00
- ΔE_f (eV per atom) = -0.7774
- crystal system = tetragonal

CIF file:
```
data_Er5AgAu4
_cell_length_a 3.548
_cell_length_b 3.548
_cell_length_c 18.119
_cell_angle_alpha 90.00
_cell_angle_beta 90.00
_cell_angle_gamma 90.00
_space_group_name_H-M_alt 'P 4/m m m'
_space_group_IT_number 123
_space_group_name_Hall '-P 4 2'
loop_
_atom_site_label
_atom_site_type_symbol
_atom_site_fract_x
_atom_site_fract_y
_atom_site_fract_z
Er1 Er 0.000 0.000 0.000
Er2 Er 0.000 0.000 0.199
Er3 Er 0.000 0.000 0.397
Ag1 Ag 0.500 0.500 0.500
Au1 Au 0.500 0.500 0.100
Au2 Au 0.500 0.500 0.300
```

Entry 15:
A geometry-optimized ErAg12Au6 structure, computed with PBE-GGA.

Values from the calculation:
- total magnetic moment (μB/cell) = 0.00
- ΔE_f (eV per atom) = -0.0434
- crystal system = trigonal

CIF file:
```
data_ErAg12Au6
_cell_length_a 16.4818
_cell_length_b 16.4818
_cell_length_c 4.8131
_cell_angle_alpha 90.00
_cell_angle_beta 90.00
_cell_angle_gamma 120.00
_space_group_name_H-M_alt 'R -3'
_space_group_IT_number 148
_space_group_name_Hall '-R 3'
loop_
_atom_site_label
_atom_site_type_symbol
_atom_site_fract_x
_atom_site_fract_y
_atom_site_fract_z
Er1 Er 0.0000 0.0000 0.0000
Ag1 Ag 0.0042 0.5825 0.1979
Ag2 Ag 0.0515 0.1872 0.5060
Au1 Au 0.0544 0.8476 0.0061
```

Entry 16:
A geometry-optimized Er4Ag3Au structure, computed with PBE-GGA.

Values from the calculation:
- total magnetic moment (μB/cell) = 0.00
- ΔE_f (eV per atom) = -0.4727
- crystal system = tetragonal

CIF file:
```
data_Er4Ag3Au
_cell_length_a 3.583
_cell_length_b 3.583
_cell_length_c 14.474
_cell_angle_alpha 90.00
_cell_angle_beta 90.00
_cell_angle_gamma 90.00
_space_group_name_H-M_alt 'P 4/m m m'
_space_group_IT_number 123
_space_group_name_Hall '-P 4 2'
loop_
_atom_site_label
_atom_site_type_symbol
_atom_site_fract_x
_atom_site_fract_y
_atom_site_fract_z
Er1 Er 0.000 0.000 0.122
Er2 Er 0.000 0.000 0.374
Ag1 Ag 0.500 0.500 0.250
Ag2 Ag 0.500 0.500 0.500
Au1 Au 0.500 0.500 0.000
```

Entry 17:
A geometry-optimized Er7Ag2Au2 structure, computed with PBE-GGA.

Values from the calculation:
- total magnetic moment (μB/cell) = 0.00
- ΔE_f (eV per atom) = -0.2088
- crystal system = orthorhombic

CIF file:
```
data_Er7Ag2Au2
_cell_length_a 7.708
_cell_length_b 10.795
_cell_length_c 7.397
_cell_angle_alpha 90.00
_cell_angle_beta 90.00
_cell_angle_gamma 90.00
_space_group_name_H-M_alt 'C m m m'
_space_group_IT_number 65
_space_group_name_Hall '-C 2 2'
loop_
_atom_site_label
_atom_site_type_symbol
_atom_site_fract_x
_atom_site_fract_y
_atom_site_fract_z
Er1 Er 0.000 0.000 0.000
Er2 Er 0.000 0.500 0.261
Er3 Er 0.250 0.250 0.275
Ag1 Ag 0.181 0.000 0.500
Au1 Au 0.000 0.290 0.000
```

Entry 18:
A geometry-optimized Er2Ag2Au structure, computed with PBE-GGA.

Values from the calculation:
- total magnetic moment (μB/cell) = 0.00
- ΔE_f (eV per atom) = -0.4332
- crystal system = orthorhombic

CIF file:
```
data_Er2Ag2Au
_cell_length_a 4.097
_cell_length_b 15.429
_cell_length_c 3.534
_cell_angle_alpha 90.00
_cell_angle_beta 90.00
_cell_angle_gamma 90.00
_space_group_name_H-M_alt 'C m m m'
_space_group_IT_number 65
_space_group_name_Hall '-C 2 2'
loop_
_atom_site_label
_atom_site_type_symbol
_atom_site_fract_x
_atom_site_fract_y
_atom_site_fract_z
Er1 Er 0.000 0.109 0.000
Ag1 Ag 0.000 0.307 0.500
Au1 Au 0.000 0.500 0.500
```

Entry 19:
A geometry-optimized EuErAgAu structure, computed with PBE-GGA.

Values from the calculation:
- total magnetic moment (μB/cell) = 28.06
- ΔE_f (eV per atom) = -0.5263
- crystal system = cubic

CIF file:
```
data_EuErAgAu
_cell_length_a 7.327
_cell_length_b 7.327
_cell_length_c 7.327
_cell_angle_alpha 90.00
_cell_angle_beta 90.00
_cell_angle_gamma 90.00
_space_group_name_H-M_alt 'F -4 3 m'
_space_group_IT_number 216
_space_group_name_Hall 'F -4 2 3'
loop_
_atom_site_label
_atom_site_type_symbol
_atom_site_fract_x
_atom_site_fract_y
_atom_site_fract_z
Eu1 Eu 0.000 0.000 0.000
Er1 Er 0.000 0.000 0.500
Ag1 Ag 0.250 0.250 0.250
Au1 Au 0.250 0.250 0.750
```

Entry 20:
A geometry-optimized Er4GaAg2Au structure, computed with PBE-GGA.

Values from the calculation:
- total magnetic moment (μB/cell) = 0.00
- ΔE_f (eV per atom) = -0.5388
- crystal system = trigonal

CIF file:
```
data_Er4GaAg2Au
_cell_length_a 5.0576
_cell_length_b 5.0576
_cell_length_c 24.8826
_cell_angle_alpha 90.00
_cell_angle_beta 90.00
_cell_angle_gamma 120.00
_space_group_name_H-M_alt 'R -3 m'
_space_group_IT_number 166
_space_group_name_Hall '-R 3 2"'
loop_
_atom_site_label
_atom_site_type_symbol
_atom_site_fract_x
_atom_site_fract_y
_atom_site_fract_z
Er1 Er 0.0000 0.0000 0.1240
Er2 Er 0.0000 0.0000 0.3740
Ga1 Ga 0.0000 0.0000 0.5000
Ag1 Ag 0.0000 0.0000 0.2470
Au1 Au 0.0000 0.0000 0.0000
```